PBE NaGdI4, optimized geometry; DFT total energy = -3.3583 eV/atom; ρ = 4.54 g/cm³
1.0
7.254 0.000 0.000
0.000 8.937 0.000
-0.266 0.000 7.762
Na Gd I
2 2 8
Direct
0.000 0.135 0.250 Na
0.000 0.865 0.750 Na
0.500 0.354 0.750 Gd
0.500 0.646 0.250 Gd
0.253 0.122 0.588 I
0.253 0.878 0.088 I
0.261 0.394 0.067 I
0.261 0.606 0.567 I
0.739 0.394 0.433 I
0.739 0.606 0.933 I
0.747 0.122 0.912 I
0.747 0.878 0.412 I